Cr3NiO9 (PBE with a Hubbard U, optimized geometry); total DFT energy (no corrections) = -167.3 eV/cell
1.0
4.840 -5.137 0.000
4.840 5.137 0.000
0.000 0.000 7.213
Cr Ni O
6 2 18
direct
0.180 0.760 0.529
0.213 0.213 0.500
0.240 0.820 0.971
0.760 0.180 0.471
0.787 0.787 0.000
0.820 0.240 0.029
0.322 0.322 0.000
0.678 0.678 0.500
0.013 0.770 0.087
0.031 0.340 0.968
0.140 0.860 0.750
0.230 0.987 0.413
0.266 0.341 0.317
0.340 0.031 0.032
0.340 0.614 0.982
0.341 0.266 0.683
0.386 0.660 0.518
0.614 0.340 0.018
0.659 0.734 0.183
0.660 0.386 0.482
0.660 0.969 0.532
0.734 0.659 0.817
0.770 0.013 0.913
0.860 0.140 0.250
0.969 0.660 0.468
0.987 0.230 0.587